Entry 1:
Material: TaTc3Rh
Method: DFT, PBE
State: optimized geometry

The space group is Pm-3m (No. 221) and the conventional cell measures 4.6463, 4.6463 and 4.6463 Å, with angles of 90.00, 90.00 and 90.00 degrees. Symmetry generates all atoms from Ta at (0.0000, 0.0000, 0.0000), Tc at (0.0000, 0.0000, 0.5000) and Rh at (0.5000, 0.5000, 0.5000).

As for the relative energy among the computed polymorphs: 11.6 kJ/mol of atoms. The magnetic moment is 0.0 μB/f.u. The value obtained for the formation energy from the elements is 1887 meV/atom. As for the total DFT energy (no corrections): -40.869 eV per formula unit.

Entry 2:
Material: MgZnCd2
Method: DFT, PBE
State: optimized geometry

The space group is P2/m (No. 10) and the conventional cell measures 3.2616, 4.5094 and 5.7704 Å, with angles of 90.00, 103.38 and 90.00 degrees. Symmetry generates all atoms from Mg at (0.0000, 0.0000, 0.0000), Zn at (0.0000, 0.0000, 0.5000) and Cd at (0.3882, 0.5000, 0.7397).

As for the relative energy among the computed polymorphs: 2.0 kJ/mol of atoms. The magnetic moment is 0.0 μB/f.u. The value obtained for the formation energy from the elements is 0 meV/atom. As for the total DFT energy (no corrections): -4.700 eV per formula unit.